# 1
## Y2MgZnH (PBE-GGA)

Data for a relaxed structure of Y2MgZnH.

Cell lengths 4.9721, 4.9721, 4.0159 Å; angles 90.00, 90.00, 90.00 degrees
Closest atoms and distances in Å follow each position.
Space group P4/mmm (No. 123)
One atom of each set of equivalent atoms:
Y1 0.0000 0.5000 0.0000 x2  2 H 2.49
Mg1 0.0000 0.0000 0.5000 x1  2 H 2.01
Zn1 0.5000 0.5000 0.5000 x1  8 Y 3.20, 4 Mg 3.52
H1 0.0000 0.0000 0.0000 x1  2 Mg 2.01

Excess energy over the best structure of this formula in the dataset (kJ/mol of atoms): 0.0
Crystal system: tetragonal

---

# 2
## Y2MgZrH (PBE-GGA)

Data for a relaxed structure of Y2MgZrH.

Cell lengths 4.8725, 4.8725, 4.5724 Å; angles 90.00, 90.00, 90.00 degrees
Closest atoms and distances in Å follow each position.
Space group P4/mmm (No. 123)
One atom of each set of equivalent atoms:
Y1 0.0000 0.5000 0.0000 x2  2 H 2.44
Mg1 0.0000 0.0000 0.5000 x1  8 Y 3.34, 4 Zr 3.45
Zr1 0.5000 0.5000 0.5000 x1  2 H 2.29
H1 0.5000 0.5000 0.0000 x1  2 Zr 2.29, 4 Y 2.44

Excess energy over the best structure of this formula in the dataset (kJ/mol of atoms): 0.0
Crystal system: tetragonal

---

# 3
## YMgZr2H (PBE-GGA)

Data for a relaxed structure of YMgZr2H.

Cell lengths 4.5508, 4.5508, 4.7441 Å; angles 90.00, 90.00, 90.00 degrees
Closest atoms and distances in Å follow each position.
Space group P4/mmm (No. 123)
One atom of each set of equivalent atoms:
Y1 0.0000 0.0000 0.0000 x1  2 H 2.37
Mg1 0.5000 0.5000 0.0000 x1  4 Y 3.22, 8 Zr 3.29
Zr1 0.0000 0.5000 0.5000 x2  2 H 2.28
H1 0.0000 0.0000 0.5000 x1  4 Zr 2.28, 2 Y 2.37

Excess energy over the best structure of this formula in the dataset (kJ/mol of atoms): 0.0
Crystal system: tetragonal

---

# 4
## YMgZr2H (PBE-GGA)

Data for a relaxed structure of YMgZr2H.

Cell lengths 4.5598, 4.5598, 4.7118 Å; angles 90.00, 90.00, 90.00 degrees
Closest atoms and distances in Å follow each position.
Space group P4/mmm (No. 123)
One atom of each set of equivalent atoms:
Y1 0.0000 0.0000 0.0000 x1  4 Mg 3.22, 8 Zr 3.28
Mg1 0.5000 0.5000 0.0000 x1  2 H 2.36
Zr1 0.0000 0.5000 0.5000 x2  2 H 2.28
H1 0.5000 0.5000 0.5000 x1  4 Zr 2.28, 2 Mg 2.36

Excess energy over the best structure of this formula in the dataset (kJ/mol of atoms): 4.2
Crystal system: tetragonal

---

# 5
## Y2MgZrH (PBE-GGA)

Data for a relaxed structure of Y2MgZrH.

Cell lengths 4.8054, 4.8054, 4.6083 Å; angles 90.00, 90.00, 90.00 degrees
Closest atoms and distances in Å follow each position.
Space group P4/mmm (No. 123)
One atom of each set of equivalent atoms:
Y1 0.0000 0.5000 0.0000 x2  2 H 2.40
Mg1 0.0000 0.0000 0.5000 x1  2 H 2.30
Zr1 0.5000 0.5000 0.5000 x1  8 Y 3.33, 4 Mg 3.40
H1 0.0000 0.0000 0.0000 x1  2 Mg 2.30, 4 Y 2.40

Excess energy over the best structure of this formula in the dataset (kJ/mol of atoms): 1.7
Crystal system: tetragonal

---

# 6
## Yb19Mg8H54 (PBE-GGA)

Data for a relaxed structure of Yb19Mg8H54.

Cell lengths 11.9532, 11.9532, 11.9532 Å; angles 90.00, 90.00, 90.00 degrees
Closest atoms and distances in Å follow each position.
Space group Im-3 (No. 204)
One atom of each set of equivalent atoms:
Yb1 0.0000 0.0000 0.0000 x2  12 H 2.43
Yb2 0.0000 0.0000 0.3329 x12  10 H 2.29-2.42
Yb3 0.0000 0.3473 0.3126 x24  8 H 2.21-2.39
Mg1 0.1591 0.1591 0.1591 x16  6 H 1.96-2.01
H1 0.0000 0.1074 0.1728 x24  2 Mg 2.01
H2 0.0000 0.1809 0.3967 x24  4 Yb 2.21-2.29, 2 H 2.37
H3 0.0000 0.3869 0.5000 x12  4 Yb 2.29-2.41
H4 0.1120 0.3158 0.1673 x48  1 Mg 1.96

Crystal system: cubic

---

Magnetic moment readings, ordered: 0.00; 0.00; 0.00; 0.00; 0.00; 4.04 μB per formula unit
Total energy readings, ordered: -4.06; -5.38; -5.80; -5.76; -5.36; -3.25 eV/atom